No. 1
The following is a DFT calculation (PBEsol) of crystalline AuBr2Cl at its relaxed geometry.

Structure (CIF):
```
data_AuBr2Cl
_chemical_formula_sum 'Au2 Br4 Cl2'
_cell_length_a 3.6513
_cell_length_b 7.2659
_cell_length_c 8.2184
_cell_angle_alpha 90.00
_cell_angle_beta 90.00
_cell_angle_gamma 90.00
_space_group_name_H-M_alt 'C m m 2'
_space_group_IT_number 35
loop_
_space_group_symop_operation_xyz
'x,y,z'
'-x,-y,z'
'-x,y,z'
'x,-y,z'
'x+1/2,y+1/2,z'
'-x+1/2,-y+1/2,z'
'-x+1/2,y+1/2,z'
'x+1/2,-y+1/2,z'
loop_
_atom_site_label
_atom_site_type_symbol
_atom_site_fract_x
_atom_site_fract_y
_atom_site_fract_z
_atom_site_occupancy
Au1 Au 0.0000 0.0000 0.0000 1
Br1 Br 0.0000 0.0000 0.4698 1
Br2 Br 0.0000 0.5000 0.2109 1
Cl1 Cl 0.0000 0.5000 0.8096 1
```

Values from the calculation:
The formation energy from raw total energies comes out at -0.0040 eV per atom. The energy relative to the lowest polymorph listed for this composition comes out at 0.023 eV per atom. The mass density is 5.974 Mg/m³. As for the total DFT energy (no corrections): -2.422 eV/atom.

---

No. 2
The following is a DFT calculation (PBEsol) of crystalline Ta2OsI at its relaxed geometry.

Structure (CIF):
```
data_Ta2OsI
_chemical_formula_sum 'Ta8 Os4 I4'
_cell_length_a 6.5615
_cell_length_b 6.5615
_cell_length_c 6.5615
_cell_angle_alpha 90.00
_cell_angle_beta 90.00
_cell_angle_gamma 90.00
_space_group_name_H-M_alt 'F m -3 m'
_space_group_IT_number 225
_space_group_name_Hall '-F 4 2 3'
loop_
_atom_site_label
_atom_site_type_symbol
_atom_site_fract_x
_atom_site_fract_y
_atom_site_fract_z
_atom_site_occupancy
Ta1 Ta 0.2500 0.2500 0.2500 1
Os1 Os 0.0000 0.0000 0.0000 1
I1 I 0.0000 0.0000 0.5000 1
```

Values from the calculation:
The formation energy from raw total energies comes out at 0.7107 eV per atom. The mass density is 15.966 Mg/m³. As for the total DFT energy (no corrections): -9.061 eV/atom.

---

No. 3
The following is a DFT calculation (PBEsol) of crystalline LiCd2Pb at its relaxed geometry.

Structure (CIF):
```
data_LiCd2Pb
_chemical_formula_sum 'Li1 Cd2 Pb1'
_cell_length_a 4.3695
_cell_length_b 4.3695
_cell_length_c 4.5783
_cell_angle_alpha 90.00
_cell_angle_beta 90.00
_cell_angle_gamma 90.00
_space_group_name_H-M_alt 'P 4/m m m'
_space_group_IT_number 123
_space_group_name_Hall '-P 4 2'
loop_
_atom_site_label
_atom_site_type_symbol
_atom_site_fract_x
_atom_site_fract_y
_atom_site_fract_z
_atom_site_occupancy
Li1 Li 0.0000 0.0000 0.0000 1
Cd1 Cd 0.0000 0.5000 0.5000 1
Pb1 Pb 0.5000 0.5000 0.0000 1
```

Values from the calculation:
The calculation puts the energy of formation at -0.1283 eV per atom. The mass density is 8.339 Mg/m³. As for the total DFT energy (no corrections): -2.218 eV/atom.

---

No. 4
The following is a DFT calculation (PBEsol) of crystalline Mg3IrF at its relaxed geometry.

Structure (CIF):
```
data_Mg3IrF
_chemical_formula_sum 'Mg3 Ir1 F1'
_cell_length_a 4.1760
_cell_length_b 4.1760
_cell_length_c 4.1760
_cell_angle_alpha 90.00
_cell_angle_beta 90.00
_cell_angle_gamma 90.00
_space_group_name_H-M_alt 'P m -3 m'
_space_group_IT_number 221
_space_group_name_Hall '-P 4 2 3'
loop_
_atom_site_label
_atom_site_type_symbol
_atom_site_fract_x
_atom_site_fract_y
_atom_site_fract_z
_atom_site_occupancy
Mg1 Mg 0.0000 0.0000 0.5000 1
Ir1 Ir 0.5000 0.5000 0.5000 1
F1 F 0.0000 0.0000 0.0000 1
```

Values from the calculation:
The formation energy from raw total energies comes out at -0.9449 eV per atom. The mass density is 6.479 Mg/m³. As for the total DFT energy (no corrections): -4.325 eV/atom.

---

No. 5
The following is a DFT calculation (PBEsol) of crystalline Tc2PIr2 at its relaxed geometry.

Structure (CIF):
```
data_Tc2PIr2
_chemical_formula_sum 'Tc4 P2 Ir4'
_cell_length_a 3.4865
_cell_length_b 3.4865
_cell_length_c 12.7370
_cell_angle_alpha 90.00
_cell_angle_beta 90.00
_cell_angle_gamma 90.00
_space_group_name_H-M_alt 'I 4/m m m'
_space_group_IT_number 139
_space_group_name_Hall '-I 4 2'
loop_
_atom_site_label
_atom_site_type_symbol
_atom_site_fract_x
_atom_site_fract_y
_atom_site_fract_z
_atom_site_occupancy
Tc1 Tc 0.0000 0.0000 0.0983 1
P1 P 0.0000 0.0000 0.5000 1
Ir1 Ir 0.0000 0.5000 0.2500 1
```

Values from the calculation:
The calculation puts the energy of formation at 0.4100 eV per atom. The mass density is 13.115 Mg/m³. As for the total DFT energy (no corrections): -9.184 eV/atom.

---

No. 6
The following is a DFT calculation (PBEsol) of crystalline Cd3Ga at its relaxed geometry.

Structure (CIF):
```
data_Cd3Ga
_chemical_formula_sum 'Cd6 Ga2'
_cell_length_a 6.1181
_cell_length_b 6.1181
_cell_length_c 5.0233
_cell_angle_alpha 90.00
_cell_angle_beta 90.00
_cell_angle_gamma 120.00
_space_group_name_H-M_alt 'P 63/m m c'
_space_group_IT_number 194
_space_group_name_Hall '-P 6c 2c'
loop_
_atom_site_label
_atom_site_type_symbol
_atom_site_fract_x
_atom_site_fract_y
_atom_site_fract_z
_atom_site_occupancy
Cd1 Cd 0.1678 0.3356 0.2500 1
Ga1 Ga 0.3333 0.6667 0.7500 1
```

Values from the calculation:
The calculation puts the energy of formation at 0.0579 eV per atom. The mass density is 8.300 Mg/m³. As for the total DFT energy (no corrections): -1.675 eV/atom.

---

No. 7
The following is a DFT calculation (PBEsol) of crystalline AlTl3Tc at its relaxed geometry.

Structure (CIF):
```
data_AlTl3Tc
_chemical_formula_sum 'Al1 Tl3 Tc1'
_cell_length_a 5.1799
_cell_length_b 5.1799
_cell_length_c 5.1799
_cell_angle_alpha 90.00
_cell_angle_beta 90.00
_cell_angle_gamma 90.00
_space_group_name_H-M_alt 'P m -3 m'
_space_group_IT_number 221
_space_group_name_Hall '-P 4 2 3'
loop_
_atom_site_label
_atom_site_type_symbol
_atom_site_fract_x
_atom_site_fract_y
_atom_site_fract_z
_atom_site_occupancy
Al1 Al 0.0000 0.0000 0.0000 1
Tl1 Tl 0.0000 0.0000 0.5000 1
Tc1 Tc 0.5000 0.5000 0.5000 1
```

Values from the calculation:
The calculation puts the energy of formation at 1.2763 eV per atom. The energy relative to the lowest polymorph listed for this composition comes out at 0.568 eV per atom. The mass density is 8.819 Mg/m³. As for the total DFT energy (no corrections): -3.373 eV/atom.

---

No. 8
The following is a DFT calculation (PBEsol) of crystalline MgIn2 at its relaxed geometry.

Structure (CIF):
```
data_MgIn2
_chemical_formula_sum 'Mg4 In8'
_cell_length_a 3.4287
_cell_length_b 15.9326
_cell_length_c 5.2372
_cell_angle_alpha 90.00
_cell_angle_beta 90.00
_cell_angle_gamma 90.00
_space_group_name_H-M_alt 'C m c m'
_space_group_IT_number 63
_space_group_name_Hall '-C 2c 2'
loop_
_atom_site_label
_atom_site_type_symbol
_atom_site_fract_x
_atom_site_fract_y
_atom_site_fract_z
_atom_site_occupancy
Mg1 Mg 0.0000 0.1068 0.2500 1
In1 In 0.0000 0.2264 0.7500 1
In2 In 0.0000 0.4422 0.2500 1
```

Values from the calculation:
The calculation puts the energy of formation at -0.0628 eV per atom. The mass density is 5.896 Mg/m³. As for the total DFT energy (no corrections): -2.624 eV/atom.

---

Question: Among the records above, which one has the highest mass density?
Answer: Ta2OsI

---

Repeat the fourth record exactly.
The following is a DFT calculation (PBEsol) of crystalline Mg3IrF at its relaxed geometry.

Structure (CIF):
```
data_Mg3IrF
_chemical_formula_sum 'Mg3 Ir1 F1'
_cell_length_a 4.1760
_cell_length_b 4.1760
_cell_length_c 4.1760
_cell_angle_alpha 90.00
_cell_angle_beta 90.00
_cell_angle_gamma 90.00
_space_group_name_H-M_alt 'P m -3 m'
_space_group_IT_number 221
_space_group_name_Hall '-P 4 2 3'
loop_
_atom_site_label
_atom_site_type_symbol
_atom_site_fract_x
_atom_site_fract_y
_atom_site_fract_z
_atom_site_occupancy
Mg1 Mg 0.0000 0.0000 0.5000 1
Ir1 Ir 0.5000 0.5000 0.5000 1
F1 F 0.0000 0.0000 0.0000 1
```

Values from the calculation:
The formation energy from raw total energies comes out at -0.9449 eV per atom. The mass density is 6.479 Mg/m³. As for the total DFT energy (no corrections): -4.325 eV/atom.